Below is a relaxed structure of LiVFeP4O14, with properties calculated at the PBE with a Hubbard U level.

```
21
Lattice="4.947 -0.010 0.003 -1.948 -6.763 -0.001 -0.169 0.038 -8.054" Properties=species:S:1:pos:R:3 pbc="T T T"
Li 1.100 -0.401 -6.795
V -0.434 -4.890 -3.935
Fe 3.413 -1.899 -0.014
P 0.776 -3.339 -6.474
P 0.979 -0.739 -1.863
P 1.981 -5.954 -5.849
P 1.991 -3.367 -2.467
O -1.481 -5.697 -5.492
O -0.992 -6.255 -2.765
O -0.347 -3.151 -7.472
O 0.222 -3.481 -5.038
O 0.689 -4.177 -2.509
O 1.055 -6.037 -4.643
O 1.475 -4.756 -6.806
O 1.613 -1.841 -2.856
O 1.895 -0.583 -0.639
O 1.846 -2.245 -6.537
O 2.585 -3.340 -1.070
O 2.972 -3.793 -3.561
O 3.944 -0.423 -6.753
O 4.514 -1.158 -1.487
```

The calculation puts the calculated total energy at -7.165 eV per atom. The density of states at the Fermi level comes out at 0.00 states/eV/f.u. Its space group is P1, No. 1.